(1)
Nb3Pb2Cl9: relaxed, PBE.

## Properties
Volume = 28.0 Å³/atom
Uncorrected formation energy = -1060 meV per atom
Total DFT energy (no corrections) = -138.18 eV/cell
Space group = No. 12

abc: 9.4255 10.1303 10.1303
angles: 121.83 98.35 98.35
Fractional positions:
Cl: 0.5000 0.8024 0.1976
Nb: 0.6177 0.8544 0.8544
Cl: 0.4757 0.5901 0.7882
Pb: 0.8665 0.4266 0.7022
Cl: 0.8238 0.0727 0.4564
Pb: 0.1335 0.2978 0.5734
Cl: 0.8238 0.4564 0.0727
Nb: 0.3823 0.1456 0.1456
Cl: 0.4757 0.7882 0.5901
Cl: 0.8037 0.0608 0.8647
Cl: 0.8037 0.8647 0.0608
Cl: 0.5243 0.4099 0.2118
Nb: 0.6386 0.1983 0.0304
Cl: 0.5000 0.1976 0.8024
Cl: 0.7759 0.6636 0.6636
Pb: 0.8665 0.7022 0.4266
Nb: 0.3614 0.9696 0.8017
Cl: 0.5243 0.2118 0.4099
Nb: 0.3614 0.8017 0.9696
Cl: 0.8269 0.2756 0.2756
Nb: 0.6386 0.0304 0.1983
Cl: 0.1762 0.5436 0.9273
Cl: 0.1963 0.9392 0.1353
Cl: 0.1731 0.7244 0.7244
Cl: 0.2241 0.3364 0.3364
Cl: 0.1963 0.1353 0.9392
Cl: 0.1762 0.9273 0.5436
Pb: 0.1335 0.5734 0.2978



(2)
Nb2PbCl: relaxed, PBE.

## Properties
Volume = 23.6 Å³/atom
Uncorrected formation energy = 642 meV per atom
Total DFT energy (no corrections) = -46.25 eV/cell
Relative energy among the computed polymorphs = 0.67 eV/f.u.
Space group = No. 122

abc: 4.7054 4.7054 9.1510
angles: 75.10 75.10 90.00
Fractional positions:
Cl: 0.2500 0.7500 0.5000
Nb: 0.5206 0.1250 0.2500
Pb: 0.7500 0.2500 0.5000
Cl: 0.5000 0.5000 0.0000
Nb: 0.3750 0.4794 0.7500
Nb: 0.8750 0.7706 0.7500
Nb: 0.2294 0.6250 0.2500
Pb: 0.0000 0.0000 0.0000



Which value of uncorrected formation energy does entry 2 give? 642 meV per atom



Copy entry 1 word for word.
Nb3Pb2Cl9: relaxed, PBE.

## Properties
Volume = 28.0 Å³/atom
Uncorrected formation energy = -1060 meV per atom
Total DFT energy (no corrections) = -138.18 eV/cell
Space group = No. 12

abc: 9.4255 10.1303 10.1303
angles: 121.83 98.35 98.35
Fractional positions:
Cl: 0.5000 0.8024 0.1976
Nb: 0.6177 0.8544 0.8544
Cl: 0.4757 0.5901 0.7882
Pb: 0.8665 0.4266 0.7022
Cl: 0.8238 0.0727 0.4564
Pb: 0.1335 0.2978 0.5734
Cl: 0.8238 0.4564 0.0727
Nb: 0.3823 0.1456 0.1456
Cl: 0.4757 0.7882 0.5901
Cl: 0.8037 0.0608 0.8647
Cl: 0.8037 0.8647 0.0608
Cl: 0.5243 0.4099 0.2118
Nb: 0.6386 0.1983 0.0304
Cl: 0.5000 0.1976 0.8024
Cl: 0.7759 0.6636 0.6636
Pb: 0.8665 0.7022 0.4266
Nb: 0.3614 0.9696 0.8017
Cl: 0.5243 0.2118 0.4099
Nb: 0.3614 0.8017 0.9696
Cl: 0.8269 0.2756 0.2756
Nb: 0.6386 0.0304 0.1983
Cl: 0.1762 0.5436 0.9273
Cl: 0.1963 0.9392 0.1353
Cl: 0.1731 0.7244 0.7244
Cl: 0.2241 0.3364 0.3364
Cl: 0.1963 0.1353 0.9392
Cl: 0.1762 0.9273 0.5436
Pb: 0.1335 0.5734 0.2978